(1)
Sm2Sc2CBr2Cl3, relaxed, DFT PBE; space-group type = C2/m; DFT total energy = -5.547 eV per atom; polymorph energy (0 for the lowest one) = 51.9 meV/atom
1.0
8.563 -1.837 0.000
8.563 1.837 0.000
-1.836 0.000 7.441
Sm Br Sc Cl C
2 2 2 3 1
direct
0.646 0.646 0.080
0.354 0.354 0.920
0.160 0.160 0.371
0.840 0.840 0.629
0.999 0.999 0.198
0.001 0.001 0.802
0.500 0.500 0.500
0.162 0.162 0.817
0.838 0.838 0.183
0.500 0.500 0.000

---

(2)
Sm2Sc2CBr2Cl3, relaxed, DFT PBE; space-group type = C2/m; DFT total energy = -5.599 eV per atom; polymorph energy (0 for the lowest one) = 0.0 meV/atom
1.0
-5.266 0.543 -7.281
-2.185 -0.982 -8.678
-2.098 -7.089 3.117
Sc Br Sm C Cl
2 2 2 1 3
direct
0.369 0.369 0.934
0.631 0.631 0.066
0.829 0.829 0.155
0.171 0.171 0.845
0.001 0.001 0.214
0.999 0.999 0.786
0.500 0.500 0.000
0.163 0.163 0.299
0.837 0.837 0.701
0.500 0.500 0.500

---

(3)
Sm4CBr3Cl2, relaxed, DFT PBE; space-group type = C2/m; DFT total energy = -5.225 eV per atom; polymorph energy (0 for the lowest one) = 2.4 meV/atom
1.0
-2.598 6.570 5.576
-5.958 5.442 3.986
-0.037 -6.741 4.858
Br Cl C Sm
3 2 1 4
direct
0.832 0.832 0.654
0.168 0.168 0.346
0.500 0.500 0.500
0.171 0.171 0.848
0.829 0.829 0.152
0.500 0.500 0.000
0.997 0.997 0.203
0.003 0.003 0.797
0.355 0.355 0.922
0.645 0.645 0.078

---

(4)
Sm4CBrCl4, relaxed, DFT PBE; space-group type = C2/m; DFT total energy = -5.366 eV per atom
1.0
-4.480 1.758 -7.535
-1.492 -0.329 -8.809
-3.538 -6.847 2.920
Br Sm C Cl
1 4 1 4
direct
0.500 0.500 0.000
0.001 0.001 0.295
0.999 0.999 0.705
0.646 0.646 0.583
0.354 0.354 0.417
0.500 0.500 0.500
0.829 0.829 0.651
0.171 0.171 0.349
0.165 0.165 0.833
0.835 0.835 0.167

---

(5)
Sm4CBr3Cl2, relaxed, DFT PBE; space-group type = C2/m; DFT total energy = -5.227 eV per atom; polymorph energy (0 for the lowest one) = 0.0 meV/atom
1.0
8.999 -1.941 0.000
8.999 1.941 0.000
-1.954 0.000 8.028
C Br Cl Sm
1 3 2 4
direct
0.500 0.500 0.000
0.829 0.829 0.171
0.171 0.171 0.829
0.500 0.500 0.500
0.840 0.840 0.674
0.160 0.160 0.326
0.000 0.000 0.205
0.359 0.359 0.922
0.641 0.641 0.078
0.000 0.000 0.795

---

(6)
Sm4C2Br3Cl2, relaxed, DFT PBE; space-group type = C2/m; DFT total energy = -5.633 eV per atom; polymorph energy (0 for the lowest one) = 3.7 meV/atom
1.0
9.410 -1.927 0.000
9.410 1.927 0.000
-1.984 0.000 7.891
Sm C Br Cl
4 2 3 2
direct
0.999 0.999 0.200
0.001 0.001 0.800
0.340 0.340 0.902
0.660 0.660 0.098
0.539 0.539 0.023
0.461 0.461 0.977
0.163 0.163 0.366
0.500 0.500 0.500
0.837 0.837 0.634
0.170 0.170 0.848
0.830 0.830 0.152

---

(7)
Sm4C2Br2Cl3, relaxed, DFT PBE; space-group type = C2/m; DFT total energy = -5.693 eV per atom
1.0
9.419 -1.914 0.000
9.419 1.914 0.000
-1.859 0.000 7.656
Cl Sm C Br
3 4 2 2
direct
0.171 0.171 0.340
0.500 0.500 0.000
0.829 0.829 0.660
0.659 0.659 0.598
0.001 0.001 0.292
0.341 0.341 0.402
0.999 0.999 0.708
0.461 0.461 0.477
0.539 0.539 0.523
0.838 0.838 0.123
0.162 0.162 0.877

---

(8)
Sm4C2Br3Cl2, relaxed, DFT PBE; space-group type = C2/m; DFT total energy = -5.637 eV per atom; polymorph energy (0 for the lowest one) = 0.0 meV/atom
1.0
9.570 -1.929 0.000
9.570 1.929 0.000
-2.084 0.000 7.803
Sm C Br Cl
4 2 3 2
direct
0.999 0.999 0.298
0.658 0.658 0.606
0.001 0.001 0.702
0.342 0.342 0.394
0.462 0.462 0.476
0.538 0.538 0.524
0.832 0.832 0.668
0.168 0.168 0.332
0.500 0.500 0.000
0.842 0.842 0.145
0.158 0.158 0.855